(1)
# Sc2RhIF

An optimized crystal structure of Sc2RhIF (GGA-PBE, Alexandria).

Values from the calculation:
SG: No. 123
DOS(E_F), states/eV per atom: 1.50
Crystal system: tetragonal
Energy relative to the elements, uncorrected, kJ/mol of formula units: 111

a = 5.400 Å, b = 5.400 Å, c = 4.780 Å
α = 90.00°, β = 90.00°, γ = 90.00°
Sites, in units of the cell vectors:
Sc 0.000 0.500 0.000
Sc 0.500 0.000 0.000
Rh 0.000 0.000 0.500
I 0.000 0.000 0.000
F 0.500 0.500 0.500

=====

(2)
# TcRhI2F

An optimized crystal structure of TcRhI2F (GGA-PBE, Alexandria).

Values from the calculation:
SG: No. 123
DOS(E_F), states/eV per atom: 0.89
Crystal system: tetragonal
Energy relative to the elements, uncorrected, kJ/mol of formula units: 395

a = 5.729 Å, b = 5.729 Å, c = 3.940 Å
α = 90.00°, β = 90.00°, γ = 90.00°
Sites, in units of the cell vectors:
Tc 0.000 0.000 0.000
Rh 0.500 0.500 0.000
I 0.000 0.500 0.500
I 0.500 0.000 0.500
F 0.500 0.500 0.500

=====

(3)
# TeRhI2F

An optimized crystal structure of TeRhI2F (GGA-PBE, Alexandria).

Values from the calculation:
SG: No. 123
DOS(E_F), states/eV per atom: 1.91
Crystal system: tetragonal
E above lowest polymorph, kJ/mol of formula units: 0
Energy relative to the elements, uncorrected, kJ/mol of formula units: 51

a = 5.453 Å, b = 5.453 Å, c = 5.032 Å
α = 90.00°, β = 90.00°, γ = 90.00°
Sites, in units of the cell vectors:
Te 0.000 0.000 0.000
Rh 0.000 0.000 0.500
I 0.000 0.500 0.500
I 0.500 0.000 0.500
F 0.500 0.500 0.000

=====

(4)
# Te2RhIF

An optimized crystal structure of Te2RhIF (GGA-PBE, Alexandria).

Values from the calculation:
SG: No. 123
DOS(E_F), states/eV per atom: 1.29
Crystal system: tetragonal
E above lowest polymorph, kJ/mol of formula units: 190
Energy relative to the elements, uncorrected, kJ/mol of formula units: 242

a = 4.601 Å, b = 4.601 Å, c = 6.497 Å
α = 90.00°, β = 90.00°, γ = 90.00°
Sites, in units of the cell vectors:
Te 0.000 0.500 0.000
Te 0.500 0.000 0.000
Rh 0.000 0.000 0.500
I 0.500 0.500 0.500
F 0.500 0.500 0.000

=====

| no. | E (eV per atom) |
| --- | --- |
| 1 | -4.458 |
| 2 | -3.720 |
| 3 | -2.987 |
| 4 | -2.910 |